Record 1
Computed, not measured: BaAlAu2Se4 after structural relaxation at the PBE level of DFT.

a b c (Å): 6.9744 6.5949 6.5949
angles (deg): 79.76 58.08 58.08
Element x y z (fractional)
Ba 0.5000 0.0000 0.0000
Al 0.5000 0.5000 0.5000
Au 0.0000 0.3295 0.6705
Au 0.0000 0.6705 0.3295
Se 0.1073 0.8566 0.5294
Se 0.8927 0.4706 0.1434
Se 0.5067 0.5294 0.8566
Se 0.4933 0.1434 0.4706

Computed properties:
DOS at the Fermi energy: 0.395 states/eV/atom
V: 216 Å³ per cell
DFT total energy: -4.094 eV/atom

---

Record 2
Computed, not measured: CaZn9Pd2 after structural relaxation at the PBE level of DFT.

a b c (Å): 3.0846 8.6630 8.6630
angles (deg): 120.00 90.00 90.00
Element x y z (fractional)
Ca 0.0000 0.0000 0.0000
Zn 0.5000 0.8156 0.1844
Zn 0.0000 0.0000 0.5000
Zn 0.0000 0.5000 0.5000
Zn 0.5000 0.8156 0.6313
Zn 0.5000 0.1844 0.8156
Zn 0.5000 0.6313 0.8156
Zn 0.5000 0.1844 0.3687
Zn 0.0000 0.5000 0.0000
Zn 0.5000 0.3687 0.1844
Pd 0.0000 0.6667 0.3333
Pd 0.0000 0.3333 0.6667

Computed properties:
DOS at the Fermi energy: 0.450 states/eV/atom
E_form: -0.245 eV/atom
V: 200 Å³ per cell